Here is ErInPd2 at its PBEsol-relaxed geometry from Alexandria via LeMat-Bulk. Energies are from meta-GGA SCAN.

a = 6.640 Å, b = 6.640 Å, c = 6.640 Å
α = 90.00°, β = 90.00°, γ = 90.00°
Space group Fm-3m (No. 225)
Symmetry-distinct sites (fractional):
Er  0.000  0.000  0.000
In  0.000  0.000  0.500
Pd  0.250  0.250  0.250

Properties
- Energy relative to the elements: -0.907 eV per atom



Here is K2HgBi at its PBEsol-relaxed geometry from Alexandria via LeMat-Bulk. Energies are from meta-GGA SCAN.

a = 8.184 Å, b = 8.184 Å, c = 8.184 Å
α = 90.00°, β = 90.00°, γ = 90.00°
Space group Fm-3m (No. 225)
Symmetry-distinct sites (fractional):
K  0.250  0.250  0.250
Hg  0.000  0.000  0.000
Bi  0.000  0.000  0.500

Properties
- Energy relative to the elements: -0.287 eV per atom



Here is TiMn3Au at its PBEsol-relaxed geometry from Alexandria via LeMat-Bulk. Energies are from meta-GGA SCAN.

a = 4.778 Å, b = 4.778 Å, c = 4.778 Å
α = 90.00°, β = 90.00°, γ = 90.00°
Space group Pm-3m (No. 221)
Symmetry-distinct sites (fractional):
Ti  0.000  0.000  0.000
Mn  0.000  0.500  0.500
Au  0.500  0.500  0.500

Properties
- Energy relative to the elements: 0.543 eV per atom



Here is YSbNF2 at its PBEsol-relaxed geometry from Alexandria via LeMat-Bulk. Energies are from meta-GGA SCAN.

a = 4.402 Å, b = 4.402 Å, c = 4.341 Å
α = 90.00°, β = 90.00°, γ = 90.00°
Space group P4/mmm (No. 123)
Symmetry-distinct sites (fractional):
Y  0.000  0.000  0.000
Sb  0.500  0.500  0.500
N  0.500  0.500  0.000
F  0.000  0.500  0.500

Properties
- E_form (uncorrected): -21.06 kcal/mol of atoms



Here is SrBe2Ru at its PBEsol-relaxed geometry from Alexandria via LeMat-Bulk. Energies are from meta-GGA SCAN.

a = 3.276 Å, b = 4.997 Å, c = 8.222 Å
α = 90.00°, β = 90.00°, γ = 90.00°
Space group Immm (No. 71)
Symmetry-distinct sites (fractional):
Sr  0.000  0.000  0.000
Be  0.000  0.500  0.191
Ru  0.000  0.000  0.500

Properties
- Energy relative to the elements: 0.468 eV per atom



Here is YScCo at its PBEsol-relaxed geometry from Alexandria via LeMat-Bulk. Energies are from meta-GGA SCAN.

a = 3.197 Å, b = 3.197 Å, c = 11.931 Å
α = 90.00°, β = 90.00°, γ = 90.00°
Space group I4mm (No. 107)
Symmetry-distinct sites (fractional):
Y  0.000  0.000  0.000
Sc  0.000  0.000  0.740
Co  0.000  0.000  0.356

Properties
- Energy relative to the elements: -0.203 eV per atom



no.,total magnetic moment (Bohr magnetons per cell)
1,0.000
2,0.002
3,10.902
4,0.765
5,0.000
6,1.895